The following is a PBE-GGA calculation of a relaxed Li2Sm2Mg3 crystal, from the Alexandria database.

Properties
* calculated formation energy: -24 meV per atom
* mass density: 3.630 g/cm3
* space group: No. 65
* total magnetization: 0.0000 μB/atom

Unit cell a=4.081 b=3.624 c=12.156 alpha=90.00 beta=80.34 gamma=90.00
Atoms (fractional coordinates):
Sm: 0.422 0.500 0.156
Sm: 0.578 0.500 0.844
Li: 0.715 0.500 0.570
Li: 0.285 0.500 0.430
Mg: 0.164 0.000 0.671
Mg: 0.836 0.000 0.329
Mg: 0.000 0.000 0.000



The following is a PBE-GGA calculation of a relaxed KRb6Na6 crystal, from the Alexandria database.

Properties
* calculated formation energy: 37 meV per atom
* mass density: 1.405 g/cm3
* space group: No. 71
* total magnetization: 0.0000 μB/atom

Unit cell a=7.968 b=10.874 c=10.874 alpha=84.16 beta=68.51 gamma=68.51
Atoms (fractional coordinates):
Rb: 0.673 0.827 0.827
Rb: 0.000 0.330 0.670
Rb: 0.660 0.340 0.340
Rb: 0.327 0.173 0.173
Rb: 0.000 0.670 0.330
Rb: 0.340 0.660 0.660
K: 0.000 0.000 0.000
Na: 0.000 0.000 0.500
Na: 0.000 0.500 0.000
Na: 0.500 0.000 0.500
Na: 0.500 0.237 0.763
Na: 0.500 0.763 0.237
Na: 0.500 0.500 0.000



The following is a PBE-GGA calculation of a relaxed Ce5Ir2Pb2 crystal, from the Alexandria database.

Properties
* calculated formation energy: -530 meV per atom
* mass density: 10.016 g/cm3
* space group: No. 64
* offset from the most stable computed form: 0.000 eV/atom
* total magnetization: 0.2894 μB/atom

Unit cell a=7.581 b=8.240 c=8.962 alpha=117.37 beta=90.00 gamma=90.00
Last column: magnetic moment on the atom in μB.
Atoms (fractional coordinates):
Ce: 0.658 0.290 0.233  0.45
Ce: 0.658 0.057 0.767  0.45
Ce: 0.000 0.000 0.000  0.48
Ce: 0.842 0.557 0.767  0.45
Ce: 0.342 0.710 0.767  0.45
Ce: 0.842 0.790 0.233  0.45
Ce: 0.342 0.943 0.233  0.45
Ce: 0.500 0.500 0.000  0.48
Ce: 0.158 0.443 0.233  0.45
Ce: 0.158 0.210 0.767  0.45
Ir: 0.645 0.875 0.000  -0.04
Ir: 0.855 0.375 0.000  -0.04
Ir: 0.145 0.625 0.000  -0.04
Ir: 0.355 0.125 0.000  -0.04
Pb: 0.500 0.715 0.430  -0.01
Pb: 0.000 0.215 0.430  -0.01
Pb: 0.000 0.785 0.570  -0.01
Pb: 0.500 0.285 0.570  -0.01